(1)
A geometry-optimized Ta2Nb4Re structure, computed with PBE.

## Properties
V, Å³/atom: 20.135
Size of the total moment, μB per formula unit: 0.00
Calculated formation energy, meV/atom: 664
Distance to the lowest polymorph of the same formula, eV per atom: 0.767
Raw total energy, eV per atom: -10.26
SG: Cmmm

Unit cell a=5.0181 b=2.6827 c=10.5554 alpha=97.30 beta=90.00 gamma=90.00
Fractional coordinates of all 7 atoms:
Ta1 0.5000 0.1858 0.3715
Ta2 0.5000 0.8142 0.6285
Nb1 0.5000 0.5660 0.1321
Nb2 0.0000 0.8729 0.7459
Nb3 0.5000 0.4340 0.8679
Nb4 0.0000 0.1271 0.2541
Re1 0.0000 0.5000 0.0000

---

(2)
A geometry-optimized Ta4Nb3Re structure, computed with PBE.

## Properties
V, Å³/atom: 17.715
Size of the total moment, μB per formula unit: 0.00
Calculated formation energy, meV/atom: -130
Distance to the lowest polymorph of the same formula, eV per atom: 0.000
Raw total energy, eV per atom: -11.39
SG: P4/mmm

Unit cell a=3.2627 b=3.2627 c=13.3131 alpha=90.00 beta=90.00 gamma=90.00
Fractional coordinates of all 8 atoms:
Re1 0.5000 0.5000 0.0000
Nb1 0.5000 0.5000 0.2474
Nb2 0.5000 0.5000 0.5000
Nb3 0.5000 0.5000 0.7526
Ta1 0.0000 0.0000 0.8818
Ta2 0.0000 0.0000 0.1182
Ta3 0.0000 0.0000 0.3721
Ta4 0.0000 0.0000 0.6279

---

(3)
A geometry-optimized Ta6NbRe structure, computed with PBE.

## Properties
V, Å³/atom: 17.746
Size of the total moment, μB per formula unit: 0.00
Calculated formation energy, meV/atom: -102
Distance to the lowest polymorph of the same formula, eV per atom: 0.000
Raw total energy, eV per atom: -11.81
SG: Amm2

Unit cell a=4.6447 b=5.6839 c=5.6839 alpha=71.10 beta=90.00 gamma=90.00
Fractional coordinates of all 8 atoms:
Ta1 0.0000 0.6270 0.8765
Ta2 0.0000 0.1234 0.3730
Ta3 0.0000 0.6236 0.3764
Ta4 0.5000 0.8702 0.6198
Ta5 0.5000 0.3802 0.1298
Ta6 0.5000 0.8835 0.1165
Nb1 0.5000 0.3675 0.6325
Re1 0.0000 0.1246 0.8754

---

(4)
A geometry-optimized Ta7Nb2Re structure, computed with PBE.

## Properties
V, Å³/atom: 22.565
Size of the total moment, μB per formula unit: 0.00
Calculated formation energy, meV/atom: 1548
Distance to the lowest polymorph of the same formula, eV per atom: 1.654
Raw total energy, eV per atom: -10.01
SG: Fm-3m

Unit cell a=6.8336 b=6.8336 c=6.8336 alpha=60.00 beta=60.00 gamma=60.00
Fractional coordinates of all 10 atoms:
Ta1 0.5000 0.5000 0.5000
Ta2 0.2481 0.7519 0.7519
Ta3 0.2481 0.7519 0.2481
Ta4 0.7519 0.2481 0.7519
Ta5 0.7519 0.7519 0.2481
Ta6 0.2481 0.2481 0.7519
Ta7 0.7519 0.2481 0.2481
Nb1 0.2500 0.2500 0.2500
Nb2 0.7500 0.7500 0.7500
Re1 0.0000 0.0000 0.0000

---

(5)
A geometry-optimized Ta2Nb3Re2 structure, computed with PBE.

## Properties
V, Å³/atom: 18.059
Size of the total moment, μB per formula unit: 0.00
Calculated formation energy, meV/atom: 58
Raw total energy, eV per atom: -11.20
SG: C2/m

Unit cell a=3.1815 b=5.4230 c=8.6674 alpha=116.52 beta=90.00 gamma=107.06
Fractional coordinates of all 7 atoms:
Ta1 0.8563 0.7125 0.1534
Ta2 0.1437 0.2875 0.8466
Nb1 0.5000 0.0000 0.0000
Nb2 0.5979 0.1958 0.4237
Nb3 0.4021 0.8042 0.5763
Re1 0.8006 0.6011 0.7493
Re2 0.1994 0.3989 0.2507

---

(6)
A geometry-optimized Ta4Nb2Re structure, computed with PBE.

## Properties
V, Å³/atom: 17.992
Size of the total moment, μB per formula unit: 0.00
Calculated formation energy, meV/atom: 52
Distance to the lowest polymorph of the same formula, eV per atom: 0.000
Raw total energy, eV per atom: -11.38
SG: P-1

Unit cell a=2.7956 b=7.2792 c=7.3001 alpha=61.21 beta=81.48 gamma=96.25
Fractional coordinates of all 7 atoms:
Ta1 0.0136 0.2809 0.5778
Ta2 0.9864 0.7191 0.4222
Ta3 0.3981 0.4234 0.8571
Ta4 0.6019 0.5766 0.1429
Nb1 0.2578 0.8561 0.7167
Nb2 0.7422 0.1439 0.2833
Re1 0.0000 0.0000 0.0000

---

(7)
A geometry-optimized TaNb2Re structure, computed with PBE.

## Properties
V, Å³/atom: 17.139
Size of the total moment, μB per formula unit: 0.00
Calculated formation energy, meV/atom: -230
Distance to the lowest polymorph of the same formula, eV per atom: 0.011
Raw total energy, eV per atom: -11.34
SG: F-43m

Unit cell a=4.5932 b=4.5932 c=4.5933 alpha=90.05 beta=119.97 gamma=119.97
Fractional coordinates of all 4 atoms:
Ta1 0.6250 0.5625 0.1874
Nb1 0.1250 0.8125 0.9375
Nb2 0.6250 0.0625 0.6875
Re1 0.1250 0.3125 0.4375

---

(8)
A geometry-optimized Ta8NbRe2 structure, computed with PBE.

## Properties
V, Å³/atom: 17.502
Size of the total moment, μB per formula unit: 0.00
Calculated formation energy, meV/atom: -190
Raw total energy, eV per atom: -11.99
SG: C2/m

Unit cell a=4.6063 b=7.1229 c=7.3558 alpha=121.02 beta=108.25 gamma=90.00
Fractional coordinates of all 11 atoms:
Ta1 0.5954 0.7336 0.1907
Ta2 0.3181 0.5559 0.6362
Ta3 0.1397 0.0870 0.2795
Ta4 0.0501 0.3743 0.1001
Ta5 0.8603 0.9130 0.7205
Ta6 0.6819 0.4441 0.3638
Ta7 0.4046 0.2664 0.8093
Ta8 0.9499 0.6257 0.8999
Nb1 0.5000 0.0000 0.0000
Re1 0.2258 0.8168 0.4516
Re2 0.7742 0.1832 0.5484

---

(9)
A geometry-optimized TaNbRe structure, computed with PBE.

## Properties
V, Å³/atom: 17.456
Size of the total moment, μB per formula unit: 0.00
Calculated formation energy, meV/atom: 117
Distance to the lowest polymorph of the same formula, eV per atom: 0.412
Raw total energy, eV per atom: -11.34
SG: Cmcm

Unit cell a=4.6632 b=4.8602 c=5.2667 alpha=90.00 beta=90.00 gamma=118.67
Fractional coordinates of all 6 atoms:
Nb1 0.5000 0.0000 0.5000
Nb2 0.5000 0.0000 0.0000
Ta1 0.1684 0.3367 0.2500
Ta2 0.8316 0.6633 0.7500
Re1 0.1653 0.3306 0.7500
Re2 0.8347 0.6694 0.2500

---

(10)
A geometry-optimized Ta3Nb3Re2 structure, computed with PBE.

## Properties
V, Å³/atom: 17.135
Size of the total moment, μB per formula unit: 0.00
Calculated formation energy, meV/atom: -231
Distance to the lowest polymorph of the same formula, eV per atom: 0.000
Raw total energy, eV per atom: -11.56
SG: Pmmm

Unit cell a=4.6202 b=4.5614 c=6.5044 alpha=90.00 beta=90.00 gamma=90.00
Fractional coordinates of all 8 atoms:
Ta1 0.5000 0.0000 0.5000
Ta2 0.0000 0.5000 0.0000
Ta3 0.0000 0.5000 0.5000
Nb1 0.5000 0.5000 0.7507
Nb2 0.5000 0.5000 0.2493
Nb3 0.5000 0.0000 0.0000
Re1 0.0000 0.0000 0.7492
Re2 0.0000 0.0000 0.2508

---

(11)
A geometry-optimized Ta6Nb3Re structure, computed with PBE.

## Properties
V, Å³/atom: 17.846
Size of the total moment, μB per formula unit: 0.00
Calculated formation energy, meV/atom: -102
Distance to the lowest polymorph of the same formula, eV per atom: 0.000
Raw total energy, eV per atom: -11.48
SG: P2_1/m

Unit cell a=4.6445 b=8.0873 c=9.8532 alpha=105.33 beta=90.00 gamma=90.00
Fractional coordinates of all 20 atoms:
Ta1 0.2500 0.4494 0.1003
Ta2 0.7500 0.5506 0.8997
Ta3 0.2500 0.1497 0.1985
Ta4 0.7500 0.8503 0.8015
Ta5 0.2500 0.6563 0.6951
Ta6 0.7500 0.3437 0.3049
Ta7 0.2500 0.2408 0.5004
Ta8 0.7500 0.7592 0.4996
Ta9 0.2500 0.8562 0.3077
Ta10 0.7500 0.1438 0.6923
Ta11 0.2500 0.0492 0.8922
Ta12 0.7500 0.9508 0.1078
Nb1 0.2500 0.5460 0.3978
Nb2 0.7500 0.4540 0.6022
Nb3 0.2500 0.3521 0.8009
Nb4 0.7500 0.6479 0.1991
Nb5 0.2500 0.7540 0.0005
Nb6 0.7500 0.2460 0.9995
Re1 0.2500 0.9500 0.5992
Re2 0.7500 0.0500 0.4008

---

(12)
A geometry-optimized Ta7Nb2Re structure, computed with PBE.

## Properties
V, Å³/atom: 17.823
Size of the total moment, μB per formula unit: 0.00
Calculated formation energy, meV/atom: -106
Distance to the lowest polymorph of the same formula, eV per atom: 0.000
Raw total energy, eV per atom: -11.66
SG: P-1

Unit cell a=3.2614 b=9.7847 c=9.7082 alpha=135.53 beta=60.07 gamma=99.33
Fractional coordinates of all 10 atoms:
Ta1 0.9958 0.5990 0.2024
Ta2 0.0042 0.4010 0.7976
Ta3 0.0178 0.1936 0.3862
Ta4 0.9822 0.8064 0.6138
Ta5 0.5034 0.2909 0.0952
Ta6 0.4966 0.7091 0.9048
Ta7 0.5000 0.5000 0.5000
Nb1 0.4954 0.8997 0.3032
Nb2 0.5046 0.1003 0.6968
Re1 0.0000 0.0000 0.0000

---

(13)
A geometry-optimized TaNbRe2 structure, computed with PBE.

## Properties
V, Å³/atom: 17.654
Size of the total moment, μB per formula unit: 0.00
Calculated formation energy, meV/atom: 821
Raw total energy, eV per atom: -10.88
SG: Immm

Unit cell a=5.8823 b=5.8823 c=5.8823 alpha=57.01 beta=152.36 gamma=131.19
Fractional coordinates of all 4 atoms:
Ta1 0.0000 0.5000 0.5000
Nb1 0.0000 0.0000 0.0000
Re1 0.0000 0.2491 0.2491
Re2 0.0000 0.7509 0.7509

---

(14)
A geometry-optimized Ta6NbRe structure, computed with PBE.

## Properties
V, Å³/atom: 18.227
Size of the total moment, μB per formula unit: 0.00
Calculated formation energy, meV/atom: 118
Distance to the lowest polymorph of the same formula, eV per atom: 0.220
Raw total energy, eV per atom: -11.59
SG: R-3m

Unit cell a=5.8137 b=5.8137 c=5.8137 alpha=110.40 beta=110.40 gamma=110.40
Fractional coordinates of all 8 atoms:
Ta1 0.2513 0.7452 0.2513
Ta2 0.2513 0.2513 0.7452
Ta3 0.7487 0.2548 0.7487
Ta4 0.2548 0.7487 0.7487
Ta5 0.7487 0.7487 0.2548
Ta6 0.7452 0.2513 0.2513
Nb1 0.0000 0.0000 0.0000
Re1 0.5000 0.5000 0.5000

---

(15)
A geometry-optimized Ta4Nb3Re structure, computed with PBE.

## Properties
V, Å³/atom: 18.012
Size of the total moment, μB per formula unit: 0.00
Calculated formation energy, meV/atom: 68
Distance to the lowest polymorph of the same formula, eV per atom: 0.198
Raw total energy, eV per atom: -11.19
SG: Pmn2_1

Unit cell a=5.4779 b=5.5637 c=9.4559 alpha=90.00 beta=90.00 gamma=90.00
Fractional coordinates of all 16 atoms:
Ta1 0.2523 0.0000 0.0000
Ta2 0.3804 0.4917 0.0000
Ta3 0.0646 0.2867 0.2458
Ta4 0.5646 0.7133 0.2542
Ta5 0.8804 0.5083 0.5000
Ta6 0.7523 0.0000 0.5000
Ta7 0.5646 0.7133 0.7458
Ta8 0.0646 0.2867 0.7542
Nb1 0.7525 0.9903 0.0000
Nb2 0.0614 0.7824 0.2502
Nb3 0.5614 0.2176 0.2498
Nb4 0.2525 0.0097 0.5000
Nb5 0.5614 0.2176 0.7502
Nb6 0.0614 0.7824 0.7498
Re1 0.8781 0.5003 0.0000
Re2 0.3781 0.4997 0.5000

---

(16)
A geometry-optimized Ta6Nb2Re structure, computed with PBE.

## Properties
V, Å³/atom: 20.971
Size of the total moment, μB per formula unit: 0.00
Calculated formation energy, meV/atom: 693
Distance to the lowest polymorph of the same formula, eV per atom: 0.679
Raw total energy, eV per atom: -10.83
SG: C2/m

Unit cell a=4.4399 b=6.3541 c=7.7373 alpha=114.24 beta=106.82 gamma=90.00
Fractional coordinates of all 9 atoms:
Ta1 0.1647 0.4099 0.3295
Ta2 0.8353 0.0805 0.6705
Ta3 0.8353 0.5901 0.6705
Ta4 0.5000 0.2413 0.0000
Ta5 0.1647 0.9195 0.3295
Ta6 0.5000 0.7587 0.0000
Nb1 0.6652 0.6652 0.3304
Nb2 0.3348 0.3348 0.6696
Re1 0.0000 0.0000 0.0000

---

(17)
A geometry-optimized TaNb5Re4 structure, computed with PBE.

## Properties
V, Å³/atom: 16.812
Size of the total moment, μB per formula unit: 0.00
Calculated formation energy, meV/atom: -249
Raw total energy, eV per atom: -11.45
SG: P4/mmm

Unit cell a=3.2144 b=3.2144 c=16.2712 alpha=90.00 beta=90.00 gamma=90.00
Fractional coordinates of all 10 atoms:
Ta1 0.0000 0.0000 0.0000
Nb1 0.5000 0.5000 0.1066
Nb2 0.5000 0.5000 0.3031
Nb3 0.5000 0.5000 0.5000
Nb4 0.5000 0.5000 0.6969
Nb5 0.5000 0.5000 0.8934
Re1 0.0000 0.0000 0.2040
Re2 0.0000 0.0000 0.4014
Re3 0.0000 0.0000 0.5986
Re4 0.0000 0.0000 0.7960

---

(18)
A geometry-optimized Ta2Nb6Re structure, computed with PBE.

## Properties
V, Å³/atom: 18.143
Size of the total moment, μB per formula unit: 0.00
Calculated formation energy, meV/atom: 6
Distance to the lowest polymorph of the same formula, eV per atom: 0.000
Raw total energy, eV per atom: -10.72
SG: C2/m

Unit cell a=3.2044 b=7.2549 c=7.9980 alpha=63.03 beta=85.57 gamma=80.19
Fractional coordinates of all 9 atoms:
Ta1 0.5000 0.8429 0.3142
Ta2 0.5000 0.1571 0.6858
Nb1 0.1657 0.8300 0.6716
Nb2 0.8343 0.1700 0.3284
Nb3 0.3321 0.3268 0.0000
Nb4 0.1657 0.5015 0.3284
Nb5 0.8343 0.4985 0.6716
Nb6 0.6679 0.6732 0.0000
Re1 0.0000 0.0000 0.0000

---

(19)
A geometry-optimized Ta3Nb3Re2 structure, computed with PBE.

## Properties
V, Å³/atom: 17.250
Size of the total moment, μB per formula unit: 0.00
Calculated formation energy, meV/atom: -221
Distance to the lowest polymorph of the same formula, eV per atom: 0.011
Raw total energy, eV per atom: -11.55
SG: C2/m

Unit cell a=4.5756 b=4.5764 c=7.3397 alpha=108.11 beta=108.16 gamma=90.00
Fractional coordinates of all 8 atoms:
Ta1 0.1299 0.6299 0.2598
Ta2 0.8701 0.3701 0.7402
Ta3 0.0000 0.0000 0.0000
Nb1 0.6291 0.1291 0.2583
Nb2 0.5000 0.5000 0.0000
Nb3 0.3709 0.8709 0.7417
Re1 0.2494 0.2494 0.4988
Re2 0.7506 0.7506 0.5012

---

(20)
A geometry-optimized Ta5Nb4Re structure, computed with PBE.

## Properties
V, Å³/atom: 19.406
Size of the total moment, μB per formula unit: 0.00
Calculated formation energy, meV/atom: 459
Distance to the lowest polymorph of the same formula, eV per atom: 0.563
Raw total energy, eV per atom: -10.74
SG: I4

Unit cell a=5.0897 b=6.6787 c=6.6787 alpha=81.65 beta=67.60 gamma=67.60
Fractional coordinates of all 10 atoms:
Ta1 0.7942 0.3811 0.9694
Ta2 0.1752 0.9694 0.6189
Ta3 0.7636 0.0306 0.3811
Ta4 0.1446 0.6189 0.0306
Ta5 0.6449 0.0000 0.0000
Nb1 0.4466 0.3395 0.6837
Nb2 0.7861 0.6837 0.6605
Nb3 0.1303 0.3163 0.3395
Nb4 0.4698 0.6605 0.3163
Re1 0.1549 0.0000 0.0000